# GeMoC3 PBE optimized geometry
data_GeMoC3
_cell_length_a 3.849
_cell_length_b 3.849
_cell_length_c 3.849
_cell_angle_alpha 90.00
_cell_angle_beta 90.00
_cell_angle_gamma 90.00
_symmetry_space_group_name_H-M 'P 1'
_symmetry_Int_Tables_number 1
loop_
_symmetry_equiv_pos_as_xyz
'x,y,z'
loop_
_atom_site_label
_atom_site_fract_x
_atom_site_fract_y
_atom_site_fract_z
Ge1 0.000 0.000 0.000
Mo1 0.500 0.500 0.500
C1 0.000 0.000 0.500
C2 0.000 0.500 0.000
C3 0.500 0.000 0.000
# **Distance to the lowest polymorph of the same formula**: 689 meV per atom
# **Energy relative to the elements**: 2.647 eV per atom
# **Volume**: 57 Å³/cell